First-principles (GGA-PBE) data for a relaxed YNpBi crystal, as listed in OQMD via LeMat-Bulk.

Values from the calculation:
- crystal system = cubic
- raw total energy (eV/cell) = -87.10

Cell lengths 7.324, 7.324, 7.324 Å; angles 90.00, 90.00, 90.00 degrees
Space group F-43m (No. 216)
Asymmetric unit:
Y1 0.000 0.000 0.000 [4 per cell]
Np1 0.250 0.250 0.250 [4 per cell]
Bi1 0.250 0.250 0.750 [4 per cell]

First-principles (GGA-PBE) data for a relaxed PmCdAg crystal, as listed in OQMD via LeMat-Bulk.

Values from the calculation:
- distance to the lowest polymorph of the same formula (meV per atom) = 0
- crystal system = orthorhombic
- energy relative to the elements (eV/atom) = -0.33

Cell lengths 4.933, 3.415, 8.617 Å; angles 90.00, 90.00, 90.00 degrees
Space group Pmma (No. 51)
Asymmetric unit:
Pm1 0.250 0.000 0.232 [2 per cell]
Cd1 0.250 0.500 0.584 [2 per cell]
Ag1 0.250 0.500 0.915 [2 per cell]

First-principles (GGA-PBE) data for a relaxed Cu5Ag4 crystal, as listed in OQMD via LeMat-Bulk.

Values from the calculation:
- distance to the lowest polymorph of the same formula (meV per atom) = 55
- crystal system = monoclinic
- energy relative to the elements (eV/atom) = 0.10

Cell lengths 11.591, 2.762, 8.383 Å; angles 90.00, 103.76, 90.00 degrees
Space group C2/m (No. 12)
Asymmetric unit:
Cu1 0.000 0.000 0.000 [2 per cell]
Cu2 0.165 0.500 0.903 [4 per cell]
Cu3 0.170 0.500 0.546 [4 per cell]
Ag1 0.010 0.000 0.670 [4 per cell]
Ag2 0.175 0.500 0.221 [4 per cell]

First-principles (GGA-PBE) data for a relaxed Zr2TlPt crystal, as listed in OQMD via LeMat-Bulk.

Values from the calculation:
- crystal system = cubic
- raw total energy (eV/cell) = -103.99

Cell lengths 6.910, 6.910, 6.910 Å; angles 90.00, 90.00, 90.00 degrees
Space group F-43m (No. 216)
Asymmetric unit:
Zr1 0.000 0.000 0.000 [4 per cell]
Zr2 0.250 0.250 0.250 [4 per cell]
Tl1 0.000 0.000 0.500 [4 per cell]
Pt1 0.250 0.250 0.750 [4 per cell]

First-principles (GGA-PBE) data for a relaxed LaPuGa crystal, as listed in OQMD via LeMat-Bulk.

Values from the calculation:
- distance to the lowest polymorph of the same formula (meV per atom) = 127
- crystal system = cubic

Cell lengths 7.016, 7.016, 7.016 Å; angles 90.00, 90.00, 90.00 degrees
Space group F-43m (No. 216)
Asymmetric unit:
La1 0.000 0.000 0.000 [4 per cell]
Pu1 0.250 0.250 0.250 [4 per cell]
Ga1 0.250 0.250 0.750 [4 per cell]

First-principles (GGA-PBE) data for a relaxed LuAlCuAu crystal, as listed in OQMD via LeMat-Bulk.

Values from the calculation:
- distance to the lowest polymorph of the same formula (meV per atom) = 206
- crystal system = cubic

Cell lengths 6.599, 6.599, 6.599 Å; angles 90.00, 90.00, 90.00 degrees
Space group F-43m (No. 216)
Asymmetric unit:
Lu1 0.000 0.000 0.000 [4 per cell]
Al1 0.250 0.250 0.750 [4 per cell]
Cu1 0.000 0.000 0.500 [4 per cell]
Au1 0.250 0.250 0.250 [4 per cell]

First-principles (GGA-PBE) data for a relaxed DyPdW crystal, as listed in OQMD via LeMat-Bulk.

Values from the calculation:
- crystal system = cubic
- energy relative to the elements (eV/atom) = 0.60

Cell lengths 6.428, 6.428, 6.428 Å; angles 90.00, 90.00, 90.00 degrees
Space group F-43m (No. 216)
Asymmetric unit:
Dy1 0.000 0.000 0.000 [4 per cell]
Pd1 0.250 0.250 0.250 [4 per cell]
W1 0.000 0.000 0.500 [4 per cell]

First-principles (GGA-PBE) data for a relaxed Li4Cd2GaPt crystal, as listed in OQMD via LeMat-Bulk.

Values from the calculation:
- crystal system = tetragonal
- raw total energy (eV/cell) = -21.39

Cell lengths 4.488, 4.488, 6.441 Å; angles 90.00, 90.00, 90.00 degrees
Space group P-4m2 (No. 115)
Asymmetric unit:
Li1 0.000 0.000 0.000 [1 per cell]
Li2 0.000 0.500 0.733 [2 per cell]
Li3 0.500 0.500 0.500 [1 per cell]
Cd1 0.000 0.500 0.250 [2 per cell]
Ga1 0.500 0.500 0.000 [1 per cell]
Pt1 0.000 0.000 0.500 [1 per cell]

First-principles (GGA-PBE) data for a relaxed LuZrCoGe crystal, as listed in OQMD via LeMat-Bulk.

Values from the calculation:
- distance to the lowest polymorph of the same formula (meV per atom) = 0
- crystal system = cubic

Cell lengths 6.579, 6.579, 6.579 Å; angles 90.00, 90.00, 90.00 degrees
Space group F-43m (No. 216)
Asymmetric unit:
Lu1 0.000 0.000 0.000 [4 per cell]
Zr1 0.250 0.250 0.250 [4 per cell]
Co1 0.250 0.250 0.750 [4 per cell]
Ge1 0.000 0.000 0.500 [4 per cell]

First-principles (GGA-PBE) data for a relaxed NaAlGePt crystal, as listed in OQMD via LeMat-Bulk.

Values from the calculation:
- distance to the lowest polymorph of the same formula (meV per atom) = 118
- crystal system = cubic

Cell lengths 6.468, 6.468, 6.468 Å; angles 90.00, 90.00, 90.00 degrees
Space group F-43m (No. 216)
Asymmetric unit:
Na1 0.000 0.000 0.000 [4 per cell]
Al1 0.000 0.000 0.500 [4 per cell]
Ge1 0.250 0.250 0.750 [4 per cell]
Pt1 0.250 0.250 0.250 [4 per cell]

First-principles (GGA-PBE) data for a relaxed Co2ReNi crystal, as listed in OQMD via LeMat-Bulk.

Values from the calculation:
- distance to the lowest polymorph of the same formula (meV per atom) = 0
- crystal system = orthorhombic
- energy relative to the elements (eV/atom) = 0.03

Cell lengths 5.092, 8.662, 4.118 Å; angles 90.00, 90.00, 90.00 degrees
Space group Cmcm (No. 63)
Asymmetric unit:
Co1 0.250 0.088 0.250 [8 per cell]
Re1 0.000 0.163 0.750 [4 per cell]
Ni1 0.000 0.337 0.250 [4 per cell]

First-principles (GGA-PBE) data for a relaxed RbYRe crystal, as listed in OQMD via LeMat-Bulk.

Values from the calculation:
- distance to the lowest polymorph of the same formula (meV per atom) = 638
- crystal system = cubic

Cell lengths 7.135, 7.135, 7.135 Å; angles 90.00, 90.00, 90.00 degrees
Space group F-43m (No. 216)
Asymmetric unit:
Rb1 0.000 0.000 0.000 [4 per cell]
Y1 0.250 0.250 0.250 [4 per cell]
Re1 0.250 0.250 0.750 [4 per cell]

First-principles (GGA-PBE) data for a relaxed FeTcGe crystal, as listed in OQMD via LeMat-Bulk.

Values from the calculation:
- distance to the lowest polymorph of the same formula (meV per atom) = 0
- crystal system = cubic

Cell lengths 5.584, 5.584, 5.584 Å; angles 90.00, 90.00, 90.00 degrees
Space group F-43m (No. 216)
Asymmetric unit:
Fe1 0.000 0.000 0.000 [4 per cell]
Tc1 0.250 0.250 0.250 [4 per cell]
Ge1 0.250 0.250 0.750 [4 per cell]

First-principles (GGA-PBE) data for a relaxed KTcAuSe2S crystal, as listed in OQMD via LeMat-Bulk.

Values from the calculation:
- crystal system = orthorhombic
- raw total energy (eV/cell) = -109.71

Cell lengths 3.807, 15.028, 10.018 Å; angles 90.00, 90.00, 90.00 degrees
Space group Cmcm (No. 63)
Asymmetric unit:
K1 0.000 0.248 0.250 [4 per cell]
Tc1 0.000 0.500 0.000 [4 per cell]
Au1 0.000 0.058 0.750 [4 per cell]
Se1 0.000 0.119 0.517 [8 per cell]
S1 0.000 0.444 0.750 [4 per cell]

First-principles (GGA-PBE) data for a relaxed PmAuSeO crystal, as listed in OQMD via LeMat-Bulk.

Values from the calculation:
- distance to the lowest polymorph of the same formula (meV per atom) = 88
- crystal system = orthorhombic

Cell lengths 5.701, 5.702, 9.446 Å; angles 90.00, 90.00, 90.00 degrees
Space group Pmma (No. 51)
Asymmetric unit:
Pm1 0.250 0.000 0.125 [2 per cell]
Pm2 0.250 0.500 0.875 [2 per cell]
Au1 0.000 0.250 0.500 [4 per cell]
Se1 0.250 0.000 0.711 [2 per cell]
Se2 0.250 0.500 0.288 [2 per cell]
O1 0.000 0.250 0.000 [4 per cell]

First-principles (GGA-PBE) data for a relaxed LaPrCu2Si2 crystal, as listed in OQMD via LeMat-Bulk.

Values from the calculation:
- crystal system = trigonal
- raw total energy (eV/cell) = -31.65

Cell lengths 4.2271, 4.2271, 8.1601 Å; angles 90.00, 90.00, 120.00 degrees
Space group P-3m1 (No. 164)
Asymmetric unit:
La1 0.0000 0.0000 0.0000 [1 per cell]
Pr1 0.0000 0.0000 0.5000 [1 per cell]
Cu1 0.3333 0.6667 0.2538 [2 per cell]
Si1 0.3333 0.6667 0.7466 [2 per cell]

First-principles (GGA-PBE) data for a relaxed RbPmZn crystal, as listed in OQMD via LeMat-Bulk.

Values from the calculation:
- distance to the lowest polymorph of the same formula (meV per atom) = 0
- crystal system = cubic

Cell lengths 7.700, 7.700, 7.700 Å; angles 90.00, 90.00, 90.00 degrees
Space group F-43m (No. 216)
Asymmetric unit:
Rb1 0.000 0.000 0.000 [4 per cell]
Pm1 0.000 0.000 0.500 [4 per cell]
Zn1 0.250 0.250 0.750 [4 per cell]

First-principles (GGA-PBE) data for a relaxed LuMgReW crystal, as listed in OQMD via LeMat-Bulk.

Values from the calculation:
- distance to the lowest polymorph of the same formula (meV per atom) = 14
- crystal system = cubic

Cell lengths 6.581, 6.581, 6.581 Å; angles 90.00, 90.00, 90.00 degrees
Space group F-43m (No. 216)
Asymmetric unit:
Lu1 0.000 0.000 0.000 [4 per cell]
Mg1 0.250 0.250 0.250 [4 per cell]
Re1 0.000 0.000 0.500 [4 per cell]
W1 0.250 0.250 0.750 [4 per cell]

First-principles (GGA-PBE) data for a relaxed Sr2FePtSe6 crystal, as listed in OQMD via LeMat-Bulk.

Values from the calculation:
- crystal system = triclinic
- raw total energy (eV/cell) = -46.48

Cell lengths 6.452, 6.454, 6.711 Å; angles 70.27, 68.70, 70.08 degrees
Space group P-1 (No. 2)
Asymmetric unit:
Sr1 0.247 0.262 0.250 [2 per cell]
Fe1 0.000 0.000 0.000 [1 per cell]
Pt1 0.500 0.500 0.500 [1 per cell]
Se1 0.162 0.759 0.331 [2 per cell]
Se2 0.245 0.657 0.839 [2 per cell]
Se3 0.337 0.150 0.741 [2 per cell]

First-principles (GGA-PBE) data for a relaxed ZrPdPt3 crystal, as listed in OQMD via LeMat-Bulk.

Values from the calculation:
- crystal system = orthorhombic
- energy relative to the elements (eV/atom) = -0.47

Cell lengths 5.315, 7.409, 9.196 Å; angles 90.00, 90.00, 90.00 degrees
Space group Imma (No. 74)
Asymmetric unit:
Zr1 0.000 0.250 0.022 [4 per cell]
Pd1 0.000 0.000 0.500 [4 per cell]
Pt1 0.000 0.250 0.730 [4 per cell]
Pt2 0.250 0.068 0.250 [8 per cell]

First-principles (GGA-PBE) data for a relaxed Hf2Nb2O5 crystal, as listed in OQMD via LeMat-Bulk.

Values from the calculation:
- distance to the lowest polymorph of the same formula (meV per atom) = 0
- crystal system = tetragonal

Cell lengths 3.432, 3.432, 9.398 Å; angles 90.00, 90.00, 90.00 degrees
Space group P4/mmm (No. 123)
Asymmetric unit:
Hf1 0.000 0.000 0.230 [2 per cell]
Nb1 0.500 0.500 0.000 [1 per cell]
Nb2 0.500 0.500 0.500 [1 per cell]
O1 0.000 0.000 0.000 [1 per cell]
O2 0.000 0.500 0.362 [4 per cell]

First-principles (GGA-PBE) data for a relaxed SmSnIr crystal, as listed in OQMD via LeMat-Bulk.

Values from the calculation:
- crystal system = hexagonal
- raw total energy (eV/cell) = -60.02

Cell lengths 7.4574, 7.4574, 4.1402 Å; angles 90.00, 90.00, 120.00 degrees
Space group P-62m (No. 189)
Asymmetric unit:
Sm1 0.0000 0.4108 0.0000 [3 per cell]
Sn1 0.0000 0.7476 0.5000 [3 per cell]
Ir1 0.0000 0.0000 0.0000 [1 per cell]
Ir2 0.3333 0.6667 0.5000 [2 per cell]

First-principles (GGA-PBE) data for a relaxed KTcTe2AuS crystal, as listed in OQMD via LeMat-Bulk.

Values from the calculation:
- crystal system = orthorhombic
- raw total energy (eV/cell) = -103.97

Cell lengths 3.975, 15.822, 10.232 Å; angles 90.00, 90.00, 90.00 degrees
Space group Cmcm (No. 63)
Asymmetric unit:
K1 0.000 0.240 0.250 [4 per cell]
Tc1 0.000 0.000 0.000 [4 per cell]
Te1 0.000 0.376 0.515 [8 per cell]
Au1 0.000 0.453 0.750 [4 per cell]
S1 0.000 0.051 0.750 [4 per cell]

First-principles (GGA-PBE) data for a relaxed TaAg2Sb crystal, as listed in OQMD via LeMat-Bulk.

Values from the calculation:
- crystal system = cubic
- raw total energy (eV/cell) = -79.85

Cell lengths 6.738, 6.738, 6.738 Å; angles 90.00, 90.00, 90.00 degrees
Space group F-43m (No. 216)
Asymmetric unit:
Ta1 0.000 0.000 0.000 [4 per cell]
Ag1 0.000 0.000 0.500 [4 per cell]
Ag2 0.250 0.250 0.250 [4 per cell]
Sb1 0.250 0.250 0.750 [4 per cell]

First-principles (GGA-PBE) data for a relaxed Zr2Sc2In crystal, as listed in OQMD via LeMat-Bulk.

Values from the calculation:
- distance to the lowest polymorph of the same formula (meV per atom) = 38
- crystal system = tetragonal

Cell lengths 4.132, 4.132, 14.234 Å; angles 90.00, 90.00, 90.00 degrees
Space group I4/mmm (No. 139)
Asymmetric unit:
Zr1 0.000 0.500 0.250 [4 per cell]
Sc1 0.000 0.000 0.093 [4 per cell]
In1 0.000 0.000 0.500 [2 per cell]

First-principles (GGA-PBE) data for a relaxed RbTa crystal, as listed in OQMD via LeMat-Bulk.

Values from the calculation:
- distance to the lowest polymorph of the same formula (meV per atom) = 0
- crystal system = hexagonal

Cell lengths 3.0444, 3.0444, 6.7538 Å; angles 90.00, 90.00, 120.00 degrees
Space group P-6m2 (No. 187)
Asymmetric unit:
Rb1 0.0000 0.0000 0.0000 [1 per cell]
Ta1 0.6667 0.3333 0.5000 [1 per cell]

First-principles (GGA-PBE) data for a relaxed TmScCo crystal, as listed in OQMD via LeMat-Bulk.

Values from the calculation:
- distance to the lowest polymorph of the same formula (meV per atom) = 100
- crystal system = cubic
- energy relative to the elements (eV/atom) = 0.78

Cell lengths 6.376, 6.376, 6.376 Å; angles 90.00, 90.00, 90.00 degrees
Space group F-43m (No. 216)
Asymmetric unit:
Tm1 0.000 0.000 0.000 [4 per cell]
Sc1 0.250 0.250 0.250 [4 per cell]
Co1 0.250 0.250 0.750 [4 per cell]